The following is a DFT calculation (PBEsol) of a geometry-optimized MoOs3 structure. Values from VASP.

```
&SYSTEM
  ibrav = 0, nat = 4, ntyp = 2
/
ATOMIC_SPECIES
Mo 95.94 Mo.upf
Os 190.23 Os.upf
CELL_PARAMETERS angstrom
-1.064 1.544 3.362
1.947 -2.740 1.875
3.145 2.219 -0.024
ATOMIC_POSITIONS crystal
Mo 0.000 0.000 0.000
Os 0.000 0.500 0.500
Os 0.500 0.000 0.500
Os 0.500 0.500 0.000
```

Computed properties:
Symmetry ... Pm-3m (221)
Energy ... -48.3 eV for the cell shown

---

The following is a DFT calculation (PBEsol) of a geometry-optimized NaCu2S2 structure. Values from VASP.

```
&SYSTEM
  ibrav = 0, nat = 5, ntyp = 3
/
ATOMIC_SPECIES
Na 22.99 Na.upf
S 32.06 S.upf
Cu 63.55 Cu.upf
CELL_PARAMETERS angstrom
3.707 0.000 0.000
0.000 3.707 0.000
-1.853 -1.853 6.075
ATOMIC_POSITIONS crystal
Na 0.000 0.000 0.000
S 0.364 0.364 0.728
S 0.636 0.636 0.272
Cu 0.250 0.750 0.500
Cu 0.750 0.250 0.500
```

Computed properties:
Symmetry ... I4/mmm (139)
Energy relative to the elements, uncorrected ... -0.506 eV/atom

---

The following is a DFT calculation (PBEsol) of a geometry-optimized SbRh3I structure. Values from VASP.

```
&SYSTEM
  ibrav = 0, nat = 5, ntyp = 3
/
ATOMIC_SPECIES
I 126.90 I.upf
Sb 121.76 Sb.upf
Rh 102.91 Rh.upf
CELL_PARAMETERS angstrom
4.818 0.000 0.000
0.000 4.818 0.000
0.000 0.000 4.818
ATOMIC_POSITIONS crystal
I 0.500 0.500 0.500
Sb 0.000 0.000 0.000
Rh 0.000 0.500 0.000
Rh 0.000 0.000 0.500
Rh 0.500 0.000 0.000
```

Computed properties:
Symmetry ... Pm-3m (221)
Energy relative to the elements, uncorrected ... 0.998 eV/atom